(1)
11
Lattice="6.814 -0.022 0.080 -3.387 5.912 0.080 -1.205 -2.071 7.122" Properties=species:S:1:pos:R:3 comment="Li2HfTi2Te6 (PBE-GGA, relaxed)" formation_energy_uncorrected_kj_per_mol_atoms=-77.0 sg="No. 12" pbc="T T T"
Li 5.171 0.934 0.080
Li -1.744 4.957 0.080
Hf -0.602 -1.035 3.561
Ti -0.591 2.901 3.641
Ti 2.814 0.920 3.641
Te 1.631 2.804 5.383
Te -1.765 0.942 5.306
Te 0.591 1.016 1.899
Te 1.691 -1.069 5.306
Te 3.988 2.878 1.975
Te 0.531 4.889 1.975

(2)
12
Lattice="7.370 0.001 0.007 -3.683 6.384 0.007 -1.222 -2.117 8.097" Properties=species:S:1:pos:R:3 comment="LiHf2Tl3Te6 (PBE-GGA, relaxed)" formation_energy_uncorrected_kj_per_mol_atoms=-62.9 sg="No. 12" pbc="T T T"
Li 0.000 0.000 0.000
Hf -0.002 4.258 0.007
Hf 3.689 2.127 0.007
Tl -2.498 4.289 4.055
Tl 4.963 -0.021 4.055
Tl 1.232 2.134 4.055
Te 3.747 2.044 6.447
Te 2.417 4.185 1.611
Te -1.282 2.225 1.663
Te -0.103 4.267 6.447
Te 0.048 0.083 6.500
Te 2.568 0.001 1.663

(3)
8
Lattice="4.128 0.000 0.000 0.000 8.156 -0.484 0.000 2.569 7.217" Properties=species:S:1:pos:R:3 comment="LiHfTl2Te4 (PBE-GGA, relaxed)" formation_energy_uncorrected_kj_per_mol_atoms=-55.3 sg="No. 10" pbc="T T T"
Li 2.064 4.078 -0.242
Hf 0.000 5.362 3.367
Tl 0.000 2.569 7.217
Tl 2.064 1.284 3.608
Te 0.000 7.689 5.062
Te 4.128 3.036 1.671
Te 2.064 6.451 1.633
Te 2.064 4.274 5.100

(4)
16
Lattice="8.393 0.000 0.000 0.000 9.486 0.769 -4.197 -4.200 5.937" Properties=species:S:1:pos:R:3 comment="LiHf3Tl4Te8 (PBE-GGA, relaxed)" formation_energy_uncorrected_kj_per_mol_atoms=-59.5 sg="No. 166" pbc="T T T"
Li 0.000 4.743 0.384
Hf 4.197 4.743 0.384
Hf 2.098 2.643 3.353
Hf -2.098 2.643 3.353
Tl 4.197 0.000 0.000
Tl 2.098 -2.100 2.969
Tl 0.000 0.000 0.000
Tl -2.098 -2.100 2.969
Te -2.068 2.594 6.266
Te 0.000 4.664 3.341
Te 0.000 0.574 3.374
Te 2.068 2.594 6.266
Te 2.128 2.692 0.439
Te 4.197 4.711 3.331
Te 4.197 0.622 3.365
Te 6.265 2.692 0.439

(5)
15
Lattice="8.507 0.000 0.000 -4.253 7.366 -0.029 0.000 -4.887 7.101" Properties=species:S:1:pos:R:3 comment="Li3Tm3HfTe8 (PBE-GGA, relaxed)" formation_energy_uncorrected_kj_per_mol_atoms=-113.0 sg="No. 166" pbc="T T T"
Li 0.000 0.000 0.000
Li -2.127 3.683 -0.015
Li 2.127 3.683 -0.015
Tm 4.253 -2.443 3.551
Tm 2.127 1.240 3.536
Tm -2.127 1.240 3.536
Hf 0.000 -2.443 3.551
Te 0.000 2.460 1.732
Te 4.253 0.019 5.340
Te 4.253 2.550 1.795
Te 0.000 -0.070 5.277
Te 2.204 6.099 1.782
Te 2.049 -3.620 5.291
Te -2.204 6.099 1.782
Te 6.457 -3.620 5.291

(6)
16
Lattice="-4.630 -6.932 -1.404 5.150 -2.117 -6.531 3.327 1.383 7.647" Properties=species:S:1:pos:R:3 comment="Li4Tm3HfTe8 (PBE-GGA, relaxed)" formation_energy_uncorrected_kj_per_mol_atoms=-110.4 sg="No. 166" pbc="T T T"
Li -2.315 -3.466 -0.702
Li -0.652 -2.774 3.122
Li 0.000 0.000 0.000
Li 1.663 0.692 3.824
Tm 0.260 -4.525 -3.968
Tm 1.924 -3.833 -0.144
Tm 4.239 -0.367 0.558
Hf 2.575 -1.059 -3.265
Te 2.747 -3.277 -5.201
Te 4.358 -2.607 -1.499
Te 1.758 -1.549 1.851
Te 0.359 -6.853 -5.926
Te 3.488 -0.813 5.638
Te 2.090 -6.117 -2.139
Te -0.511 -5.059 1.211
Te 1.100 -4.389 4.913

(7)
11
Lattice="-2.330 6.512 -1.685 -4.221 -4.515 3.531 4.676 1.837 5.579" Properties=species:S:1:pos:R:3 comment="Li2TmHf2Te6 (PBE-GGA, relaxed)" formation_energy_uncorrected_kj_per_mol_atoms=-94.2 sg="No. 12" pbc="T T T"
Li -2.636 4.726 -0.841
Li -3.915 -2.730 2.686
Tm 2.338 0.918 2.790
Hf -1.253 0.076 4.583
Hf -0.622 3.758 2.842
Te -1.314 2.839 5.525
Te 1.503 -0.019 5.539
Te -0.560 0.995 1.900
Te 2.155 3.781 3.742
Te -3.378 3.853 1.885
Te -4.030 0.052 3.683

(8)
8
Lattice="-0.028 -2.212 -3.480 2.703 -5.628 3.555 -7.564 -0.441 0.342" Properties=species:S:1:pos:R:3 comment="Li2HfUTe4 (PBE-GGA, relaxed)" formation_energy_uncorrected_kj_per_mol_atoms=-75.1 sg="No. 10" pbc="T T T"
Li -3.796 -1.326 -1.569
Li -2.431 -3.034 1.948
Hf 1.337 -3.920 0.037
U 0.000 0.000 0.000
Te -1.257 -2.727 -0.700
Te -3.633 -5.553 1.116
Te -4.961 -1.824 1.199
Te 0.100 -4.245 2.697

(9)
5
Lattice="-4.866 0.937 -0.078 -0.955 -5.104 -1.762 -0.374 -1.550 4.692" Properties=species:S:1:pos:R:3 comment="LiHfV2Te (PBE-GGA, relaxed)" formation_energy_uncorrected_kj_per_mol_atoms=107.8 sg="No. 123" pbc="T T T"
Te -0.477 -2.552 -0.881
Hf 0.000 0.000 0.000
Li -3.097 -2.858 1.426
V -0.187 -0.775 2.346
V -2.433 0.469 -0.039

(10)
16
Lattice="8.519 0.000 0.000 0.000 8.614 0.058 -4.260 -4.255 6.027" Properties=species:S:1:pos:R:3 comment="Li4Y3HfTe8 (PBE-GGA, relaxed)" formation_energy_uncorrected_kj_per_mol_atoms=-112.9 sg="No. 166" pbc="T T T"
Li 4.260 0.000 0.000
Li 2.130 -2.128 3.014
Li 0.000 0.000 0.000
Li -2.130 -2.128 3.014
Y 4.260 4.307 0.029
Y 2.130 2.179 3.043
Y -2.130 2.179 3.043
Hf 0.000 4.307 0.029
Te 2.041 6.442 0.094
Te 0.000 4.404 2.983
Te 0.000 -0.034 2.986
Te 6.478 6.442 0.094
Te -2.219 -2.084 5.991
Te 4.260 4.393 3.100
Te 4.260 -0.045 3.103
Te 2.219 -2.084 5.991

(11)
11
Lattice="6.936 -0.024 0.066 -3.449 6.018 0.066 -1.240 -2.131 7.183" Properties=species:S:1:pos:R:3 comment="Li2HfZr2Te6 (PBE-GGA, relaxed)" formation_energy_uncorrected_kj_per_mol_atoms=-86.5 sg="No. 12" pbc="T T T"
Li 5.196 0.988 0.066
Li -1.709 5.006 0.066
Hf -0.620 -1.066 3.592
Zr -0.619 2.946 3.658
Zr 2.867 0.917 3.658
Te 1.691 2.907 5.469
Te -1.756 0.890 5.415
Te 0.556 0.956 1.846
Te 1.641 -1.086 5.415
Te 4.003 2.973 1.900
Te 0.606 4.949 1.900

(12)
3
Lattice="3.292 0.000 0.000 0.000 3.292 0.000 -1.646 -1.646 6.829" Properties=species:S:1:pos:R:3 comment="LiHfTh (PBE-GGA, relaxed)" sg="No. 107" e_form_mev_per_atom=231 pbc="T T T"
Hf 0.000 0.000 4.652
Th 1.646 1.646 2.324
Li 1.646 1.646 6.683

Question: What is the formula in the second record?
Answer: LiHf2Tl3Te6

Please write out number 4 again, unchanged.
16
Lattice="8.393 0.000 0.000 0.000 9.486 0.769 -4.197 -4.200 5.937" Properties=species:S:1:pos:R:3 comment="LiHf3Tl4Te8 (PBE-GGA, relaxed)" formation_energy_uncorrected_kj_per_mol_atoms=-59.5 sg="No. 166" pbc="T T T"
Li 0.000 4.743 0.384
Hf 4.197 4.743 0.384
Hf 2.098 2.643 3.353
Hf -2.098 2.643 3.353
Tl 4.197 0.000 0.000
Tl 2.098 -2.100 2.969
Tl 0.000 0.000 0.000
Tl -2.098 -2.100 2.969
Te -2.068 2.594 6.266
Te 0.000 4.664 3.341
Te 0.000 0.574 3.374
Te 2.068 2.594 6.266
Te 2.128 2.692 0.439
Te 4.197 4.711 3.331
Te 4.197 0.622 3.365
Te 6.265 2.692 0.439